Here is Al3Si3Pb2O13 after structural relaxation from Alexandria via LeMat-Bulk. Energies are from PBE.

Cell lengths 5.836, 11.037, 15.909 Å; angles 90.00, 90.00, 90.00 degrees
Sites, in units of the cell vectors:
O 0.978 0.104 0.641
Pb 0.750 0.129 0.938
O 0.250 0.604 0.709
O 0.486 0.929 0.896
O 0.975 0.736 0.140
Pb 0.250 0.940 0.635
O 0.250 0.231 0.207
O 0.025 0.264 0.860
O 0.250 0.064 0.446
O 0.250 0.847 0.504
O 0.250 0.436 0.946
Al 0.500 0.317 0.251
O 0.250 0.064 0.784
O 0.014 0.929 0.896
O 0.022 0.604 0.859
O 0.025 0.236 0.360
O 0.750 0.186 0.223
O 0.750 0.936 0.216
O 0.522 0.104 0.641
Si 0.750 0.435 0.660
Al 0.000 0.817 0.249
O 0.750 0.104 0.791
O 0.750 0.153 0.496
Pb 0.750 0.060 0.365
O 0.250 0.686 0.277
O 0.978 0.396 0.141
Si 0.250 0.578 0.916
Si 0.250 0.922 0.416
Si 0.750 0.422 0.084
Pb 0.250 0.629 0.562
O 0.514 0.429 0.604
Pb 0.250 0.871 0.062
O 0.750 0.564 0.054
O 0.250 0.436 0.284
O 0.750 0.769 0.793
Si 0.750 0.792 0.580
O 0.250 0.269 0.707
O 0.750 0.788 0.995
Si 0.750 0.065 0.160
O 0.525 0.764 0.640
O 0.478 0.604 0.859
O 0.014 0.571 0.396
Si 0.250 0.565 0.340
Al 0.250 0.343 0.609
Si 0.750 0.708 0.080
O 0.250 0.814 0.777
Al 0.000 0.683 0.749
O 0.750 0.347 0.996
Si 0.750 0.078 0.584
Al 0.750 0.843 0.891
Si 0.250 0.292 0.920
O 0.750 0.936 0.554
O 0.986 0.429 0.604
O 0.750 0.564 0.716
O 0.478 0.896 0.359
Pb 0.750 0.371 0.438
Pb 0.750 0.440 0.865
O 0.250 0.896 0.209
O 0.486 0.571 0.396
O 0.750 0.396 0.291
O 0.475 0.236 0.360
Al 0.000 0.317 0.251
O 0.750 0.314 0.723
O 0.750 0.712 0.495
O 0.986 0.071 0.104
O 0.514 0.071 0.104
O 0.522 0.396 0.141
O 0.750 0.731 0.293
Si 0.250 0.208 0.420
Al 0.500 0.183 0.751
O 0.525 0.736 0.140
Al 0.750 0.657 0.391
O 0.022 0.896 0.359
O 0.250 0.653 0.004
O 0.475 0.264 0.860
Al 0.500 0.817 0.249
Al 0.000 0.183 0.751
Pb 0.250 0.560 0.135
O 0.250 0.212 0.005
Si 0.250 0.935 0.840
Al 0.250 0.157 0.109
Al 0.500 0.683 0.749
O 0.250 0.288 0.505
O 0.975 0.764 0.640

Summary:
D(E_F) = 24.750 states/eV/cell
magnetic moment = 0.1 μB per formula unit
E_tot = -7.193 eV per atom
E_form (uncorrected) = -2.462 eV/atom

***

Here is Al2Si2Pb2O9 after structural relaxation from Alexandria via LeMat-Bulk. Energies are from PBE.

Cell lengths 6.981, 9.865, 10.848 Å; angles 90.00, 90.00, 90.00 degrees
Sites, in units of the cell vectors:
O 0.608 0.078 0.859
Si 0.283 0.252 0.588
O 0.000 0.750 0.978
O 0.315 0.184 0.726
O 0.348 0.663 0.007
Pb 0.553 0.549 0.697
Al 0.000 0.000 0.500
O 0.608 0.578 0.141
Pb 0.053 0.951 0.197
O 0.652 0.837 0.007
Pb 0.447 0.951 0.697
O 0.694 0.096 0.105
O 0.185 0.684 0.774
O 0.806 0.096 0.605
Pb 0.447 0.451 0.303
Si 0.783 0.748 0.912
O 0.848 0.837 0.507
O 0.815 0.316 0.226
O 0.806 0.596 0.395
Al 0.500 0.500 0.000
Al 0.500 0.750 0.146
O 0.306 0.904 0.895
O 0.306 0.404 0.105
O 0.315 0.684 0.274
O 0.815 0.816 0.774
O 0.108 0.922 0.641
O 0.892 0.578 0.641
O 0.500 0.750 0.478
O 0.892 0.078 0.359
Al 0.000 0.750 0.646
O 0.652 0.337 0.993
Al 0.500 0.250 0.854
O 0.694 0.596 0.895
O 0.392 0.922 0.141
O 0.152 0.663 0.507
O 0.392 0.422 0.859
O 0.185 0.184 0.226
Pb 0.947 0.549 0.197
Si 0.217 0.252 0.088
O 0.685 0.816 0.274
Si 0.783 0.248 0.088
O 0.500 0.250 0.522
Al 0.000 0.500 0.500
O 0.194 0.404 0.605
Si 0.283 0.752 0.412
O 0.848 0.337 0.493
Si 0.217 0.752 0.912
Pb 0.553 0.049 0.303
O 0.685 0.316 0.726
Si 0.717 0.748 0.412
Al 0.500 0.000 0.000
O 0.000 0.250 0.022
O 0.108 0.422 0.359
O 0.152 0.163 0.493
Pb 0.947 0.049 0.803
Al 0.000 0.250 0.354
Si 0.717 0.248 0.588
O 0.348 0.163 0.993
Pb 0.053 0.451 0.803
O 0.194 0.904 0.395

Summary:
D(E_F) = 0.000 states/eV/cell
magnetic moment = 0.0 μB per formula unit
E_tot = -7.148 eV per atom
E_form (uncorrected) = -2.456 eV/atom

***

Here is Al2Si2PbO8 after structural relaxation from Alexandria via LeMat-Bulk. Energies are from PBE.

Cell lengths 8.493, 9.419, 9.419 Å; angles 90.54, 97.23, 82.77 degrees
Sites, in units of the cell vectors:
O 0.505 0.366 0.866
O 0.388 0.944 0.176
Si 0.012 0.789 0.938
O 0.888 0.824 0.056
O 0.277 0.761 0.483
Si 0.599 0.564 0.284
O 0.304 0.008 0.752
O 0.994 0.313 0.426
O 0.777 0.517 0.239
Al 0.476 0.708 0.554
O 0.723 0.239 0.517
O 0.005 0.134 0.634
O 0.498 0.181 0.080
O 0.223 0.483 0.761
O 0.112 0.176 0.944
O 0.002 0.080 0.181
Al 0.613 0.203 0.938
O 0.447 0.147 0.351
O 0.901 0.419 0.671
O 0.804 0.248 0.992
O 0.553 0.853 0.649
Si 0.488 0.938 0.789
Pb 0.308 0.413 0.067
O 0.599 0.671 0.419
Si 0.099 0.716 0.436
Al 0.024 0.554 0.708
O 0.401 0.329 0.581
O 0.696 0.992 0.248
O 0.196 0.752 0.008
O 0.099 0.581 0.329
Si 0.901 0.284 0.564
Al 0.524 0.292 0.446
O 0.947 0.649 0.853
O 0.995 0.866 0.366
O 0.506 0.426 0.313
O 0.495 0.634 0.134
Si 0.512 0.062 0.211
O 0.612 0.056 0.824
Pb 0.192 0.067 0.413
Al 0.887 0.938 0.203
Al 0.113 0.062 0.797
O 0.006 0.687 0.574
O 0.502 0.819 0.920
Pb 0.692 0.587 0.933
O 0.494 0.574 0.687
Pb 0.808 0.933 0.587
Si 0.988 0.211 0.062
O 0.998 0.920 0.819
Si 0.401 0.436 0.716
Al 0.387 0.797 0.062
O 0.053 0.351 0.147
Al 0.976 0.446 0.292

Summary:
D(E_F) = 0.000 states/eV/cell
magnetic moment = 0.0 μB per formula unit
E_tot = -7.423 eV per atom
E_form (uncorrected) = -2.677 eV/atom
distance to the lowest polymorph of the same formula = 0 meV per atom

***

Here is Al2Si2PbO8 after structural relaxation from Alexandria via LeMat-Bulk. Energies are from PBE.

Cell lengths 7.258, 7.858, 7.863 Å; angles 113.45, 103.61, 103.61 degrees
Sites, in units of the cell vectors:
Si 0.344 0.807 0.577
Si 0.344 0.578 0.808
Si 0.656 0.193 0.423
O 0.000 0.876 0.124
Al 0.230 0.184 0.830
Al 0.770 0.169 0.815
O 0.235 0.690 0.951
O 0.740 0.662 0.279
O 0.594 0.684 0.918
Pb 0.150 0.255 0.255
O 0.406 0.082 0.318
Pb 0.850 0.745 0.745
Al 0.230 0.831 0.185
O 0.713 0.396 0.396
O 0.000 0.124 0.876
O 0.766 0.050 0.311
O 0.234 0.950 0.689
O 0.765 0.310 0.049
O 0.287 0.604 0.604
O 0.260 0.338 0.721
Al 0.770 0.816 0.170
Si 0.656 0.422 0.192
O 0.259 0.720 0.337
O 0.741 0.280 0.663
O 0.594 0.918 0.682
O 0.406 0.316 0.082

Summary:
D(E_F) = 0.000 states/eV/cell
magnetic moment = 0.0 μB per formula unit
E_tot = -7.420 eV per atom
E_form (uncorrected) = -2.674 eV/atom
distance to the lowest polymorph of the same formula = 3 meV per atom

***

Here is Sm2AlPbO6 after structural relaxation from Alexandria via LeMat-Bulk. Energies are from PBE.

Cell lengths 5.242, 5.346, 5.346 Å; angles 90.00, 90.00, 90.00 degrees
Sites, in units of the cell vectors:
Sm 0.992 0.500 0.000
O 0.736 0.769 0.231
O 0.736 0.231 0.231
O 0.736 0.231 0.769
O 0.120 0.500 0.500
Pb 0.546 0.500 0.500
Sm 0.992 0.000 0.500
O 0.255 0.000 0.000
Al 0.598 0.000 0.000
O 0.736 0.769 0.769

Summary:
D(E_F) = 2.232 states/eV/cell
magnetic moment = 0.0 μB per formula unit
E_tot = -7.152 eV per atom
E_form (uncorrected) = -2.488 eV/atom

***

Here is AlSnPb2O after structural relaxation from Alexandria via LeMat-Bulk. Energies are from PBE.

Cell lengths 5.043, 4.800, 5.043 Å; angles 90.00, 90.00, 90.00 degrees
Sites, in units of the cell vectors:
Pb 0.000 0.000 0.500
O 0.000 0.000 0.000
Sn 0.000 0.500 0.000
Al 0.500 0.500 0.500
Pb 0.500 0.000 0.000

Summary:
D(E_F) = 2.472 states/eV/cell
magnetic moment = 0.0 μB per formula unit
E_tot = -4.158 eV per atom
E_form (uncorrected) = -0.134 eV/atom

***

Here is AlSnPb2O6 after structural relaxation from Alexandria via LeMat-Bulk. Energies are from PBE.

Cell lengths 5.842, 5.842, 10.013 Å; angles 73.04, 73.04, 60.00 degrees
Sites, in units of the cell vectors:
O 0.255 0.810 0.126
O 0.190 0.190 0.874
O 0.745 0.190 0.874
Sn 0.402 0.402 0.793
O 0.190 0.745 0.874
O 0.810 0.255 0.126
Al 0.000 0.000 0.000
O 0.606 0.606 0.629
Pb 0.884 0.884 0.349
Al 0.500 0.500 0.500
O 0.842 0.394 0.371
O 0.606 0.158 0.629
Pb 0.262 0.262 0.215
O 0.394 0.394 0.371
O 0.394 0.842 0.371
Sn 0.598 0.598 0.207
O 0.158 0.606 0.629
Pb 0.738 0.738 0.785
Pb 0.116 0.116 0.651
O 0.810 0.810 0.126

Summary:
D(E_F) = 13.516 states/eV/cell
magnetic moment = 0.9 μB per formula unit
E_tot = -5.974 eV per atom
E_form (uncorrected) = -1.483 eV/atom

***

Here is Sr2AlPbO6 after structural relaxation from Alexandria via LeMat-Bulk. Energies are from PBE.

Cell lengths 5.796, 5.796, 10.273 Å; angles 73.61, 73.61, 60.00 degrees
Sites, in units of the cell vectors:
O 0.744 0.188 0.880
Pb 0.406 0.406 0.781
Al 0.500 0.500 0.500
O 0.812 0.812 0.120
Pb 0.594 0.594 0.219
Sr 0.272 0.272 0.183
Sr 0.728 0.728 0.817
O 0.188 0.188 0.880
O 0.618 0.147 0.618
O 0.382 0.382 0.382
O 0.188 0.744 0.880
O 0.853 0.382 0.382
O 0.382 0.853 0.382
O 0.256 0.812 0.120
Sr 0.864 0.864 0.408
O 0.812 0.256 0.120
Al 0.000 0.000 0.000
O 0.147 0.618 0.618
O 0.618 0.618 0.618
Sr 0.136 0.136 0.592

Summary:
D(E_F) = 11.737 states/eV/cell
magnetic moment = 0.9 μB per formula unit
E_tot = -6.062 eV per atom
E_form (uncorrected) = -2.005 eV/atom

***

Here is TbAlPbO4 after structural relaxation from Alexandria via LeMat-Bulk. Energies are from PBE.

Cell lengths 5.900, 5.696, 7.059 Å; angles 90.00, 102.17, 90.00 degrees
Sites, in units of the cell vectors:
O 0.473 0.750 0.579
O 0.087 0.513 0.326
O 0.480 0.750 0.186
O 0.520 0.250 0.814
O 0.087 0.987 0.326
O 0.913 0.487 0.674
Al 0.288 0.750 0.346
O 0.527 0.250 0.421
Pb 0.302 0.250 0.126
Tb 0.806 0.750 0.424
Tb 0.194 0.250 0.576
O 0.913 0.013 0.674
Pb 0.698 0.750 0.874
Al 0.712 0.250 0.654

Summary:
D(E_F) = 0.000 states/eV/cell
magnetic moment = 0.0 μB per formula unit
E_tot = -7.104 eV per atom
E_form (uncorrected) = -2.545 eV/atom

***

Here is AlTcPbO6 after structural relaxation from Alexandria via LeMat-Bulk. Energies are from PBE.

Cell lengths 5.111, 5.112, 5.365 Å; angles 90.00, 90.00, 60.00 degrees
Sites, in units of the cell vectors:
O 0.388 0.996 0.691
O 0.617 0.388 0.691
Tc 0.333 0.333 0.526
Al 0.667 0.667 0.471
O 0.384 0.610 0.295
O 0.610 0.006 0.295
O 0.006 0.384 0.295
O 0.996 0.617 0.691
Pb 0.000 0.000 0.047

Summary:
magnetic moment = 0.0 μB per formula unit
E_tot = -6.981 eV per atom
E_form (uncorrected) = -1.696 eV/atom

***

Here is TiAlPb2O6 after structural relaxation from Alexandria via LeMat-Bulk. Energies are from PBE.

Cell lengths 5.602, 5.602, 9.806 Å; angles 73.40, 73.40, 60.00 degrees
Sites, in units of the cell vectors:
O 0.613 0.613 0.625
O 0.284 0.798 0.119
O 0.798 0.798 0.119
Pb 0.863 0.863 0.410
O 0.798 0.284 0.119
O 0.716 0.202 0.881
O 0.613 0.148 0.625
O 0.387 0.852 0.375
Ti 0.598 0.598 0.206
Pb 0.273 0.273 0.182
Al 0.500 0.500 0.500
Ti 0.402 0.402 0.794
Pb 0.727 0.727 0.818
Pb 0.137 0.137 0.590
O 0.202 0.716 0.881
O 0.202 0.202 0.881
Al 0.000 0.000 0.000
O 0.387 0.387 0.375
O 0.148 0.613 0.625
O 0.852 0.387 0.375

Summary:
D(E_F) = 14.288 states/eV/cell
magnetic moment = 0.5 μB per formula unit
E_tot = -6.873 eV per atom
E_form (uncorrected) = -1.992 eV/atom

***

Here is Ti2AlPbO6 after structural relaxation from Alexandria via LeMat-Bulk. Energies are from PBE.

Cell lengths 6.305, 7.280, 7.280 Å; angles 103.01, 74.68, 74.68 degrees
Sites, in units of the cell vectors:
O 0.296 0.224 0.043
O 0.041 0.671 0.583
O 0.485 0.811 0.358
Pb 0.250 0.907 0.093
O 0.204 0.957 0.776
O 0.015 0.642 0.189
Pb 0.750 0.093 0.907
O 0.959 0.329 0.417
Al 0.250 0.193 0.807
Ti 0.345 0.705 0.542
Ti 0.155 0.458 0.295
Ti 0.655 0.295 0.458
O 0.796 0.043 0.224
O 0.515 0.189 0.642
O 0.704 0.776 0.957
Ti 0.845 0.542 0.705
Al 0.750 0.807 0.193
O 0.985 0.358 0.811
O 0.541 0.583 0.671
O 0.459 0.417 0.329

Summary:
D(E_F) = 3.064 states/eV/cell
magnetic moment = 0.0 μB per formula unit
E_tot = -7.883 eV per atom
E_form (uncorrected) = -2.584 eV/atom